Entry from Alexandria: crystalline Zn2CdCo at its relaxed geometry (PBE).

Cell: 4.371 4.371 4.371 Å, 60.00 60.00 60.00°
Site moments in Bohr magnetons follow the coordinates.
Positions (direct):
Cd 0.500 0.500 0.500  -0.01
Co 0.750 0.750 0.750  0.36
Zn 0.000 0.000 0.000  -0.01
Zn 0.250 0.250 0.250  -0.01

Values from the calculation:
- E (eV/atom) = -2.457
- space-group type = F-43m, No. 216
- energy of formation from the pure elements (kJ/mol of atoms) = 17.9
- total magnetization (μB per cell) = 0.322